AlIn2GaSe6 (PBE, relaxed); calculated volume = 551.3 Å³ per cell; SG = C2/c, No. 15; raw formation energy = -582 meV per atom
1.0
6.099 -8.348 0.000
6.099 8.348 0.000
-3.185 0.000 5.414
Al In Ga Se
2 4 2 12
direct
0.176 0.824 0.750 Al
0.824 0.176 0.250 Al
0.291 0.458 0.430 In
0.458 0.291 0.930 In
0.542 0.709 0.070 In
0.709 0.542 0.570 In
0.181 0.819 0.250 Ga
0.819 0.181 0.750 Ga
0.021 0.201 0.106 Se
0.112 0.614 0.372 Se
0.201 0.021 0.606 Se
0.289 0.444 0.854 Se
0.386 0.888 0.128 Se
0.444 0.289 0.354 Se
0.556 0.711 0.646 Se
0.614 0.112 0.872 Se
0.711 0.556 0.146 Se
0.799 0.979 0.394 Se
0.888 0.386 0.628 Se
0.979 0.799 0.894 Se

AlInGaSe2 (PBE, relaxed); calculated volume = 135.5 Å³ per cell; SG = P4/mmm, No. 123; raw formation energy = 260 meV per atom
1.0
5.058 0.000 0.000
0.000 5.058 0.000
0.000 0.000 5.296
Al In Ga Se
1 1 1 2
direct
0.000 0.000 0.000 Al
0.500 0.500 0.000 In
0.500 0.500 0.500 Ga
0.000 0.500 0.500 Se
0.500 0.000 0.500 Se

AlInGaSi2 (PBE, relaxed); calculated volume = 116.2 Å³ per cell; SG = P4/mmm, No. 123; raw formation energy = 625 meV per atom
1.0
4.832 0.000 0.000
0.000 4.832 0.000
0.000 0.000 4.978
Al In Ga Si
1 1 1 2
direct
0.000 0.000 0.000 Al
0.500 0.500 0.500 In
0.000 0.000 0.500 Ga
0.000 0.500 0.000 Si
0.500 0.000 0.000 Si

AlInGa2Te (PBE, relaxed); calculated volume = 140.6 Å³ per cell; SG = P4/mmm, No. 123; raw formation energy = 186 meV per atom
1.0
5.008 0.000 0.000
0.000 5.008 0.000
0.000 0.000 5.608
Al In Ga Te
1 1 2 1
direct
0.000 0.000 0.000 Al
0.500 0.500 0.500 In
0.000 0.500 0.000 Ga
0.500 0.000 0.000 Ga
0.000 0.000 0.500 Te

AlIn2GaTe4 (PBE, relaxed); calculated volume = 555.9 Å³ per cell; SG = C2, No. 5; raw formation energy = -286 meV per atom
1.0
9.610 0.000 0.000
0.000 10.143 0.000
-4.799 0.000 5.703
Al In Ga Te
2 4 2 8
direct
0.000 0.000 0.000 Al
0.500 0.500 0.000 Al
0.000 0.333 0.500 In
0.000 0.584 0.000 In
0.500 0.084 0.000 In
0.500 0.833 0.500 In
0.000 0.749 0.500 Ga
0.500 0.249 0.500 Ga
0.194 0.864 0.926 Te
0.227 0.112 0.421 Te
0.273 0.612 0.579 Te
0.306 0.364 0.074 Te
0.694 0.364 0.926 Te
0.727 0.612 0.421 Te
0.773 0.112 0.579 Te
0.806 0.864 0.074 Te

Ti2AlInGa (PBE, relaxed); energy of formation = 0.71 eV per atom; calculated volume = 113.0 Å³ per cell; SG = P4/mmm, No. 123
1.0
4.807 0.000 0.000
0.000 4.807 0.000
0.000 0.000 4.890
Ti Al In Ga
2 1 1 1
direct
0.000 0.500 0.000 Ti
0.500 0.000 0.000 Ti
0.000 0.000 0.000 Al
0.000 0.000 0.500 In
0.500 0.500 0.500 Ga